# Cu3OsCl

An optimized crystal structure of Cu3OsCl (PBE, Alexandria via LeMat-Bulk). Values from VASP.

Structure (Quantum ESPRESSO input):
```
&SYSTEM
  ibrav = 0, nat = 5, ntyp = 3
/
ATOMIC_SPECIES
Cu 63.55 Cu.upf
Cl 35.45 Cl.upf
Os 190.23 Os.upf
CELL_PARAMETERS angstrom
-0.220 -3.345 2.702
3.858 -1.347 -1.355
1.898 2.352 3.066
ATOMIC_POSITIONS crystal
Cu 0.000 0.000 0.500
Cu 0.500 0.000 0.000
Cu 0.000 0.500 0.000
Cl 0.000 0.000 0.000
Os 0.500 0.500 0.500
```

Values from the calculation:
Space-group type: Pm-3m
Density, g cm⁻³: 8.66
V, Å³/atom: 15.962
E_form (uncorrected), eV per atom: 1.41
Excess energy over the best structure of this formula in the dataset, meV per atom: 73.1